1.
Density functional theory data (PBE-GGA) for a relaxed SmGdCoIr crystal.

a = 4.875 Å, b = 4.875 Å, c = 4.875 Å
α = 60.00°, β = 60.00°, γ = 60.00°
Sites, in units of the cell vectors:
Sm  0.000  0.000  0.000
Gd  0.500  0.500  0.500
Co  0.250  0.250  0.250
Ir  0.750  0.750  0.750

- Space-group type: F-43m
- VASP energy: -9.08 eV per atom
- Formation enthalpy at 0 K: -392 meV per atom
- Volume: 82 Å³/cell

2.
Density functional theory data (PBE-GGA) for a relaxed GdTiCoIr crystal.

a = 4.595 Å, b = 4.595 Å, c = 4.595 Å
α = 60.00°, β = 60.00°, γ = 60.00°
Sites, in units of the cell vectors:
Gd  0.000  0.000  0.000
Ti  0.500  0.500  0.500
Co  0.750  0.750  0.750
Ir  0.250  0.250  0.250

- Space-group type: F-43m
- VASP energy: -9.83 eV per atom
- Formation enthalpy at 0 K: -345 meV per atom
- Volume: 69 Å³/cell

3.
Density functional theory data (PBE-GGA) for a relaxed GdYCoIr crystal.

a = 4.828 Å, b = 4.828 Å, c = 4.828 Å
α = 60.00°, β = 60.00°, γ = 60.00°
Sites, in units of the cell vectors:
Gd  0.000  0.000  0.000
Y  0.500  0.500  0.500
Co  0.250  0.250  0.250
Ir  0.750  0.750  0.750

- Space-group type: F-43m
- VASP energy: -9.58 eV per atom
- Formation enthalpy at 0 K: -455 meV per atom
- Volume: 80 Å³/cell

4.
Density functional theory data (PBE-GGA) for a relaxed LaGdCo crystal.

a = 7.028 Å, b = 7.028 Å, c = 7.028 Å
α = 151.56°, β = 151.56°, γ = 40.66°
Sites, in units of the cell vectors:
La  0.000  0.000  0.000
Gd  0.751  0.751  0.000
Co  0.368  0.368  0.000

- Space-group type: I4mm
- VASP energy: -8.74 eV per atom
- Offset from the most stable computed form: 4.2 kJ per mole of atoms
- Formation enthalpy at 0 K: -37 meV per atom
- Volume: 79 Å³/cell

5.
Density functional theory data (PBE-GGA) for a relaxed LaGdCo crystal.

a = 3.975 Å, b = 3.975 Å, c = 6.396 Å
α = 90.00°, β = 90.00°, γ = 120.00°
Sites, in units of the cell vectors:
La  0.000  0.000  0.000
Gd  0.333  0.667  0.459
Co  0.667  0.333  0.230

- Space-group type: P3m1
- VASP energy: -8.79 eV per atom
- Offset from the most stable computed form: 0.0 kJ per mole of atoms
- Formation enthalpy at 0 K: -80 meV per atom
- Volume: 88 Å³/cell

6.
Density functional theory data (PBE-GGA) for a relaxed LaGdCo crystal.

a = 4.811 Å, b = 4.811 Å, c = 4.811 Å
α = 60.00°, β = 60.00°, γ = 60.00°
Sites, in units of the cell vectors:
La  0.000  0.000  0.000
Gd  0.500  0.500  0.500
Co  0.250  0.250  0.250

- Space-group type: F-43m
- VASP energy: -8.71 eV per atom
- Offset from the most stable computed form: 7.0 kJ per mole of atoms
- Formation enthalpy at 0 K: -8 meV per atom
- Volume: 79 Å³/cell

7.
Density functional theory data (PBE-GGA) for a relaxed LaGdCo4 crystal.

a = 5.127 Å, b = 5.127 Å, c = 5.127 Å
α = 60.00°, β = 60.00°, γ = 60.00°
Sites, in units of the cell vectors:
La  0.000  0.000  0.000
Gd  0.750  0.750  0.750
Co  0.375  0.375  0.375
Co  0.375  0.375  0.874
Co  0.375  0.874  0.375
Co  0.874  0.375  0.375

- Space-group type: F-43m
- VASP energy: -8.00 eV per atom
- Formation enthalpy at 0 K: -93 meV per atom
- Volume: 95 Å³/cell

8.
Density functional theory data (PBE-GGA) for a relaxed LiLaGdCo crystal.

a = 5.018 Å, b = 5.018 Å, c = 5.018 Å
α = 60.00°, β = 60.00°, γ = 60.00°
Sites, in units of the cell vectors:
Li  0.000  0.000  0.000
La  0.250  0.250  0.250
Gd  0.750  0.750  0.750
Co  0.500  0.500  0.500

- Space-group type: F-43m
- VASP energy: -6.99 eV per atom
- Formation enthalpy at 0 K: 13 meV per atom
- Volume: 89 Å³/cell